A geometry-optimized NaCr2O4 structure. Source: Alexandria via LeMat-Bulk, functional PBE with a Hubbard U.

Cell lengths 5.9597, 11.4193, 5.0956 Å; angles 90.00, 90.00, 90.00 degrees
Last column: nearest neighbours and their distance in Å.
Atoms (fractional coordinates):
Na (0.2500, 0.2500, 0.0298)  6 O 2.39-2.52
Na (0.2500, 0.7500, 0.3573)  6 O 2.45-2.55
Na (0.7500, 0.2500, 0.6427)  6 O 2.45-2.55
Na (0.7500, 0.7500, 0.9702)  6 O 2.39-2.52
Cr (0.0000, 0.0000, 0.5000)  6 O 2.00-2.03
Cr (0.0000, 0.5000, 0.5000)  6 O 2.00-2.03
Cr (0.2500, 0.5063, 0.9971)  6 O 1.90-2.02
Cr (0.2500, 0.9937, 0.9971)  6 O 1.90-2.02
Cr (0.5000, 0.0000, 0.5000)  6 O 2.00-2.03
Cr (0.5000, 0.5000, 0.5000)  6 O 2.00-2.03
Cr (0.7500, 0.0063, 0.0029)  6 O 1.90-2.02
Cr (0.7500, 0.4937, 0.0029)  6 O 1.90-2.02
O (0.0018, 0.0922, 0.8413)  3 Cr 1.97-2.03
O (0.0018, 0.4078, 0.8413)  3 Cr 1.97-2.03
O (0.2500, 0.0833, 0.3139)  3 Cr 1.91-2.01
O (0.2500, 0.4167, 0.3139)  3 Cr 1.91-2.01
O (0.2500, 0.5882, 0.6727)  3 Cr 1.90-2.00
O (0.2500, 0.9118, 0.6727)  3 Cr 1.90-2.00
O (0.4982, 0.0922, 0.8413)  3 Cr 1.97-2.03
O (0.4982, 0.4078, 0.8413)  3 Cr 1.97-2.03
O (0.5018, 0.5922, 0.1587)  3 Cr 1.97-2.03
O (0.5018, 0.9078, 0.1587)  3 Cr 1.97-2.03
O (0.7500, 0.0882, 0.3273)  3 Cr 1.90-2.00
O (0.7500, 0.4118, 0.3273)  3 Cr 1.90-2.00
O (0.7500, 0.5833, 0.6861)  3 Cr 1.91-2.01
O (0.7500, 0.9167, 0.6861)  3 Cr 1.91-2.01
O (0.9982, 0.5922, 0.1587)  3 Cr 1.97-2.03
O (0.9982, 0.9078, 0.1587)  3 Cr 1.97-2.03

N(E_F) (states/eV/cell): 0.489
Magnetization (μB per cell): 20.000
VASP energy (eV per atom): -6.951